Entry 1:
CdIn2Au2: relaxed, PBE.

Values from the calculation:
The density comes out at 10.62 g/cm3. For the total magnetization, the calculation gives 0.00 μB/cell.

Cell: 8.2239 4.7438 5.8980 Å, 90.00 90.07 90.00°
Space group C2/m (No. 12)
One atom of each set of equivalent atoms:
Cd (0.0000, 0.0000, 0.0000) [2 per cell]
In (0.1670, 0.5000, 0.3246) [4 per cell]
Au (0.1662, 0.5000, 0.8043) [4 per cell]

=====

Entry 2:
CdIn2Au2: relaxed, PBE.

Values from the calculation:
The density comes out at 10.38 g/cm3. For the total magnetization, the calculation gives 0.00 μB/cell.

Cell: 4.0537 4.0537 14.3273 Å, 90.00 90.00 90.00°
Space group I4/mmm (No. 139)
One atom of each set of equivalent atoms:
Cd (0.0000, 0.0000, 0.0000) [2 per cell]
In (0.0000, 0.0000, 0.3959) [4 per cell]
Au (0.0000, 0.5000, 0.2500) [4 per cell]

=====

Entry 3:
Cd12In16Au: relaxed, PBE.

Values from the calculation:
The density comes out at 7.68 g/cm3. For the total magnetization, the calculation gives 0.00 μB/cell.

Cell: 11.3643 16.0368 9.8105 Å, 90.00 125.15 90.00°
Space group Cm (No. 8)
One atom of each set of equivalent atoms:
Cd (0.0000, 0.0000, 0.0000) [2 per cell]
Cd (0.0542, 0.2969, 0.3785) [4 per cell]
Cd (0.0993, 0.0955, 0.8215) [4 per cell]
Cd (0.1475, 0.4058, 0.2022) [4 per cell]
Cd (0.1850, 0.0000, 0.3745) [2 per cell]
Cd (0.3684, 0.1939, 0.0056) [4 per cell]
Cd (0.4689, 0.0950, 0.5594) [4 per cell]
In (0.0749, 0.3013, 0.8807) [4 per cell]
In (0.1903, 0.1716, 0.1917) [4 per cell]
In (0.2078, 0.5000, 0.5288) [2 per cell]
In (0.2215, 0.1477, 0.6105) [4 per cell]
In (0.3055, 0.3453, 0.7770) [4 per cell]
In (0.3681, 0.0000, 0.1783) [2 per cell]
In (0.3876, 0.2956, 0.5079) [4 per cell]
In (0.3944, 0.3780, 0.1674) [4 per cell]
In (0.4304, 0.0000, 0.8589) [2 per cell]
In (0.4666, 0.5000, 0.4782) [2 per cell]
Au (0.1948, 0.5000, 0.8707) [2 per cell]

=====

Entry 4:
Cd5In12Au3: relaxed, PBE.

Values from the calculation:
The density comes out at 7.14 g/cm3. For the total magnetization, the calculation gives 0.00 μB/cell.

Cell: 16.7603 16.7603 16.7603 Å, 90.00 90.00 90.00°
Space group Ia-3d (No. 230)
One atom of each set of equivalent atoms:
Cd (0.0000, 0.0000, 0.0000) [16 per cell]
Cd (0.0000, 0.2500, 0.3750) [24 per cell]
In (0.0147, 0.0838, 0.6515) [96 per cell]
Au (0.0000, 0.2500, 0.1250) [24 per cell]

=====

Entry 5:
CdIn4Au2: relaxed, PBE.

Values from the calculation:
The density comes out at 9.12 g/cm3. For the total magnetization, the calculation gives 0.00 μB/cell.

Cell: 4.6226 4.6226 28.4917 Å, 90.00 90.00 120.00°
Space group R-3m (No. 166, hexagonal axes)
One atom of each set of equivalent atoms:
Cd (0.0000, 0.0000, 0.0000) [3 per cell]
In (0.0000, 0.0000, 0.2004) [6 per cell]
In (0.0000, 0.0000, 0.3909) [6 per cell]
Au (0.0000, 0.0000, 0.0993) [6 per cell]

=====

Entry 6:
Cd12InAu6: relaxed, PBE.

Values from the calculation:
The density comes out at 11.01 g/cm3. For the total magnetization, the calculation gives 0.00 μB/cell. The energy above the lowest structure with this stoichiometry is 0.000 eV/atom.

Cell: 10.1279 10.1279 13.4706 Å, 90.00 90.00 120.00°
Space group R-3 (No. 148, hexagonal axes)
One atom of each set of equivalent atoms:
Cd (0.0532, 0.1869, 0.2954) [18 per cell]
Cd (0.0633, 0.8330, 0.9186) [18 per cell]
In (0.0000, 0.0000, 0.5000) [3 per cell]
Au (0.0256, 0.4351, 0.2138) [18 per cell]

=====

Entry 7:
Cd2InAu6: relaxed, PBE.

Values from the calculation:
The density comes out at 12.63 g/cm3. For the total magnetization, the calculation gives 0.00 μB/cell. The energy above the lowest structure with this stoichiometry is 0.037 eV/atom.

Cell: 3.9259 8.5992 11.8469 Å, 90.00 90.00 90.00°
Space group Immm (No. 71)
One atom of each set of equivalent atoms:
Cd (0.0000, 0.0000, 0.1600) [4 per cell]
In (0.0000, 0.0000, 0.5000) [2 per cell]
Au (0.0000, 0.2475, 0.3320) [8 per cell]
Au (0.0000, 0.2570, 0.0000) [4 per cell]

=====

Entry 8:
Cd2In2Au5: relaxed, PBE.

Values from the calculation:
The density comes out at 12.17 g/cm3. For the total magnetization, the calculation gives 0.00 μB/cell. The energy above the lowest structure with this stoichiometry is 0.000 eV/atom.

Cell: 13.9063 7.1807 7.8641 Å, 90.00 90.00 90.00°
Space group Ima2 (No. 46)
One atom of each set of equivalent atoms:
Cd (0.1343, 0.0315, 0.0000) [8 per cell]
In (0.0000, 0.0000, 0.6390) [4 per cell]
In (0.2500, 0.5331, 0.0920) [4 per cell]
Au (0.0510, 0.1731, 0.3127) [8 per cell]
Au (0.1478, 0.7039, 0.7983) [8 per cell]
Au (0.2500, 0.1993, 0.2878) [4 per cell]

=====

Entry 9:
Cd3InAu6: relaxed, PBE.

Values from the calculation:
The density comes out at 13.05 g/cm3. For the total magnetization, the calculation gives 0.00 μB/cell.

Cell: 9.7625 10.4342 8.1615 Å, 90.00 90.00 90.00°
Space group Cmc2_1 (No. 36)
One atom of each set of equivalent atoms:
Cd (0.0000, 0.0278, 0.0000) [4 per cell]
Cd (0.1683, 0.3740, 0.9714) [8 per cell]
In (0.0000, 0.2420, 0.3182) [4 per cell]
Au (0.0000, 0.2222, 0.6599) [4 per cell]
Au (0.0000, 0.4962, 0.7175) [4 per cell]
Au (0.2323, 0.1063, 0.8026) [8 per cell]
Au (0.2366, 0.1416, 0.1431) [8 per cell]

=====

Entry 10:
Cd3InAu12: relaxed, PBE.

Values from the calculation:
The density comes out at 15.62 g/cm3. For the total magnetization, the calculation gives 0.00 μB/cell. The energy above the lowest structure with this stoichiometry is 0.014 eV/atom.

Cell: 4.1564 4.1564 17.3297 Å, 90.00 90.00 90.00°
Space group P4/mmm (No. 123)
One atom of each set of equivalent atoms:
Cd (0.0000, 0.0000, 0.0000) [1 per cell]
Cd (0.0000, 0.0000, 0.2491) [2 per cell]
In (0.0000, 0.0000, 0.5000) [1 per cell]
Au (0.0000, 0.5000, 0.1246) [4 per cell]
Au (0.0000, 0.5000, 0.3741) [4 per cell]
Au (0.5000, 0.5000, 0.0000) [1 per cell]
Au (0.5000, 0.5000, 0.2491) [2 per cell]
Au (0.5000, 0.5000, 0.5000) [1 per cell]

=====

Entry 11:
CdInAu14: relaxed, PBE.

Values from the calculation:
The density comes out at 16.70 g/cm3. For the total magnetization, the calculation gives 0.00 μB/cell.

Cell: 9.5058 6.4678 9.6519 Å, 90.00 90.00 90.00°
Space group Amm2 (No. 38)
One atom of each set of equivalent atoms:
Cd (0.0000, 0.0000, 0.0000) [2 per cell]
In (0.0000, 0.0000, 0.4962) [2 per cell]
Au (0.0000, 0.2452, 0.7454) [4 per cell]
Au (0.2485, 0.0000, 0.3122) [4 per cell]
Au (0.2505, 0.0000, 0.8147) [4 per cell]
Au (0.2517, 0.2492, 0.5629) [8 per cell]
Au (0.5000, 0.0000, 0.1325) [2 per cell]
Au (0.5000, 0.0000, 0.6337) [2 per cell]
Au (0.5000, 0.2485, 0.3824) [4 per cell]

=====

Entry 12:
Cd2In2Au5: relaxed, PBE.

Values from the calculation:
The density comes out at 12.68 g/cm3. For the total magnetization, the calculation gives 0.00 μB/cell. The energy above the lowest structure with this stoichiometry is 0.002 eV/atom.

Cell: 9.4122 15.4225 5.1929 Å, 90.00 90.00 90.00°
Space group Imma (No. 74)
One atom of each set of equivalent atoms:
Cd (0.2500, 0.1389, 0.2500) [8 per cell]
In (0.0000, 0.0000, 0.0000) [4 per cell]
In (0.2500, 0.2500, 0.7500) [4 per cell]
Au (0.0000, 0.1482, 0.5784) [8 per cell]
Au (0.0000, 0.2500, 0.0905) [4 per cell]
Au (0.2500, 0.0508, 0.7500) [8 per cell]

=====

| no. | total DFT energy (no corrections) (eV per atom) | density of states at the Fermi level (states/eV/atom) |
| --- | --- | --- |
| 1 | -2.78 | 0.2177 |
| 2 | -2.59 | 0.3610 |
| 3 | -1.99 | 0.2914 |
| 4 | -2.27 | 0.5979 |
| 5 | -2.80 | 0.4224 |
| 6 | -1.88 | 0.2684 |
| 7 | -2.79 | 0.2945 |
| 8 | -2.75 | 0.2827 |
| 9 | -2.65 | 0.2085 |
| 10 | -2.91 | 0.3697 |
| 11 | -3.13 | 0.3626 |
| 12 | -2.74 | 0.3403 |